No. 1
This record from Alexandria via LeMat-Bulk describes crystalline Mg3Cu2Se at its relaxed geometry. The functional is GGA-PBE.

Computed properties:
Polymorph energy (0 for the lowest one), meV/atom: 287
E_form (uncorrected), eV/atom: 0.02

Structure (CIF):
```
data_Mg3Cu2Se
_chemical_formula_sum 'Mg3 Cu2 Se1'
_cell_length_a 5.130
_cell_length_b 5.130
_cell_length_c 5.130
_cell_angle_alpha 72.41
_cell_angle_beta 72.41
_cell_angle_gamma 72.41
_symmetry_space_group_name_H-M 'P 1'
_symmetry_Int_Tables_number 1
_symmetry_space_group_name_Hall 'P 1'
loop_
_atom_site_label
_atom_site_fract_x
_atom_site_fract_y
_atom_site_fract_z
Mg1 0.000 0.500 0.500
Mg2 0.500 0.000 0.500
Mg3 0.500 0.500 0.000
Cu1 0.114 0.114 0.114
Cu2 0.886 0.886 0.886
Se1 0.500 0.500 0.500
```

No. 2
This record from Alexandria via LeMat-Bulk describes crystalline Li2NiOs at its relaxed geometry. The functional is GGA-PBE.

Computed properties:
Polymorph energy (0 for the lowest one), meV/atom: 0
Formation energy, eV per atom: 0.05

Structure (CIF):
```
data_Li2NiOs
_chemical_formula_sum 'Li2 Ni1 Os1'
_cell_length_a 8.908
_cell_length_b 8.908
_cell_length_c 8.908
_cell_angle_alpha 16.83
_cell_angle_beta 16.83
_cell_angle_gamma 16.83
_symmetry_space_group_name_H-M 'P 1'
_symmetry_Int_Tables_number 1
_symmetry_space_group_name_Hall 'P 1'
loop_
_atom_site_label
_atom_site_fract_x
_atom_site_fract_y
_atom_site_fract_z
Li1 0.246 0.246 0.246
Li2 0.754 0.754 0.754
Ni1 0.500 0.500 0.500
Os1 0.000 0.000 0.000
```

No. 3
This record from Alexandria via LeMat-Bulk describes crystalline Nd8MgTl2 at its relaxed geometry. The functional is GGA-PBE.

Computed properties:
Polymorph energy (0 for the lowest one), meV/atom: 0
Formation energy, eV per atom: -0.14

Structure (CIF):
```
data_Nd8MgTl2
_chemical_formula_sum 'Nd8 Mg1 Tl2'
_cell_length_a 8.878
_cell_length_b 8.878
_cell_length_c 8.907
_cell_angle_alpha 119.69
_cell_angle_beta 119.69
_cell_angle_gamma 36.69
_symmetry_space_group_name_H-M 'P 1'
_symmetry_Int_Tables_number 1
_symmetry_space_group_name_Hall 'P 1'
loop_
_atom_site_label
_atom_site_fract_x
_atom_site_fract_y
_atom_site_fract_z
Nd1 0.067 0.067 0.223
Nd2 0.136 0.136 0.685
Nd3 0.320 0.320 0.556
Nd4 0.408 0.408 0.053
Nd5 0.592 0.592 0.947
Nd6 0.680 0.680 0.444
Nd7 0.864 0.864 0.315
Nd8 0.933 0.933 0.777
Mg1 0.500 0.500 0.500
Tl1 0.229 0.229 0.127
Tl2 0.771 0.771 0.873
```

No. 4
This record from Alexandria via LeMat-Bulk describes crystalline PbAuSe2O8 at its relaxed geometry. The functional is GGA-PBE.

Computed properties:
E_form (uncorrected), eV/atom: -0.48

Structure (CIF):
```
data_PbAuSe2O8
_chemical_formula_sum 'Pb1 Au1 Se2 O8'
_cell_length_a 8.376
_cell_length_b 8.376
_cell_length_c 8.376
_cell_angle_alpha 35.67
_cell_angle_beta 35.67
_cell_angle_gamma 35.67
_symmetry_space_group_name_H-M 'P 1'
_symmetry_Int_Tables_number 1
_symmetry_space_group_name_Hall 'P 1'
loop_
_atom_site_label
_atom_site_fract_x
_atom_site_fract_y
_atom_site_fract_z
Pb1 0.000 0.000 0.000
Au1 0.500 0.500 0.500
Se1 0.252 0.252 0.252
Se2 0.748 0.748 0.748
O1 0.076 0.448 0.782
O2 0.218 0.552 0.924
O3 0.324 0.324 0.324
O4 0.448 0.782 0.076
O5 0.552 0.924 0.218
O6 0.676 0.676 0.676
O7 0.782 0.076 0.448
O8 0.924 0.218 0.552
```

No. 5
This record from Alexandria via LeMat-Bulk describes crystalline Rb2ZnGa4Sn3 at its relaxed geometry. The functional is GGA-PBE.

Computed properties:
Formation energy, eV per atom: -0.12

Structure (CIF):
```
data_Rb2ZnGa4Sn3
_chemical_formula_sum 'Rb2 Zn1 Ga4 Sn3'
_cell_length_a 4.858
_cell_length_b 4.858
_cell_length_c 11.563
_cell_angle_alpha 90.00
_cell_angle_beta 90.00
_cell_angle_gamma 90.00
_symmetry_space_group_name_H-M 'P 1'
_symmetry_Int_Tables_number 1
_symmetry_space_group_name_Hall 'P 1'
loop_
_atom_site_label
_atom_site_fract_x
_atom_site_fract_y
_atom_site_fract_z
Rb1 0.000 0.500 0.249
Rb2 0.500 0.000 0.751
Zn1 0.000 0.000 0.500
Ga1 0.000 0.000 0.000
Ga2 0.000 0.500 0.625
Ga3 0.500 0.000 0.375
Ga4 0.500 0.500 0.000
Sn1 0.000 0.500 0.870
Sn2 0.500 0.000 0.130
Sn3 0.500 0.500 0.500
```

No. 6
This record from Alexandria via LeMat-Bulk describes crystalline TiCr3Ga at its relaxed geometry. The functional is GGA-PBE.

Computed properties:
Polymorph energy (0 for the lowest one), meV/atom: 0
Formation energy, eV per atom: 1.21

Structure (CIF):
```
data_TiCr3Ga
_chemical_formula_sum 'Ti1 Cr3 Ga1'
_cell_length_a 4.577
_cell_length_b 4.577
_cell_length_c 4.577
_cell_angle_alpha 90.00
_cell_angle_beta 90.00
_cell_angle_gamma 90.00
_symmetry_space_group_name_H-M 'P 1'
_symmetry_Int_Tables_number 1
_symmetry_space_group_name_Hall 'P 1'
loop_
_atom_site_label
_atom_site_fract_x
_atom_site_fract_y
_atom_site_fract_z
Ti1 0.000 0.000 0.000
Cr1 0.000 0.500 0.500
Cr2 0.500 0.000 0.500
Cr3 0.500 0.500 0.000
Ga1 0.500 0.500 0.500
```

No. 7
This record from Alexandria via LeMat-Bulk describes crystalline YScTl2 at its relaxed geometry. The functional is GGA-PBE.

Computed properties:
Formation energy, eV per atom: 0.15

Structure (CIF):
```
data_YScTl2
_chemical_formula_sum 'Y1 Sc1 Tl2'
_cell_length_a 5.387
_cell_length_b 5.387
_cell_length_c 5.387
_cell_angle_alpha 60.00
_cell_angle_beta 60.00
_cell_angle_gamma 60.00
_symmetry_space_group_name_H-M 'P 1'
_symmetry_Int_Tables_number 1
_symmetry_space_group_name_Hall 'P 1'
loop_
_atom_site_label
_atom_site_fract_x
_atom_site_fract_y
_atom_site_fract_z
Y1 0.000 0.000 0.000
Sc1 0.250 0.250 0.250
Tl1 0.500 0.500 0.500
Tl2 0.750 0.750 0.750
```

No. 8
This record from Alexandria via LeMat-Bulk describes crystalline Rb3Cd2Au at its relaxed geometry. The functional is GGA-PBE.

Computed properties:
Polymorph energy (0 for the lowest one), meV/atom: 0
Formation energy, eV per atom: -0.12

Structure (CIF):
```
data_Rb3Cd2Au
_chemical_formula_sum 'Rb6 Cd4 Au2'
_cell_length_a 8.041
_cell_length_b 8.041
_cell_length_c 8.821
_cell_angle_alpha 100.55
_cell_angle_beta 100.55
_cell_angle_gamma 86.88
_symmetry_space_group_name_H-M 'P 1'
_symmetry_Int_Tables_number 1
_symmetry_space_group_name_Hall 'P 1'
loop_
_atom_site_label
_atom_site_fract_x
_atom_site_fract_y
_atom_site_fract_z
Rb1 0.111 0.889 0.750
Rb2 0.250 0.400 0.014
Rb3 0.400 0.250 0.514
Rb4 0.600 0.750 0.486
Rb5 0.750 0.600 0.986
Rb6 0.889 0.111 0.250
Cd1 0.041 0.571 0.372
Cd2 0.429 0.959 0.128
Cd3 0.571 0.041 0.872
Cd4 0.959 0.429 0.628
Au1 0.201 0.799 0.250
Au2 0.799 0.201 0.750
```

We obtain total magnetic moment values of 0.00 0.00 0.00 1.05 0.00 8.73 1.90 0.00 μB/cell for the records listed above, in that order.